DFT (PBE) results for a relaxed structure of DyHfCdHg.

a = 7.2138 Å, b = 7.2138 Å, c = 7.2138 Å
α = 90.00°, β = 90.00°, γ = 90.00°
With the nearest neighbours (Å) after each atom.
Positions (direct):
Dy1 0.0000 0.0000 0.0000  4 Cd 3.12, 4 Hg 3.12
Dy2 0.0000 0.5000 0.5000  4 Cd 3.12, 4 Hg 3.12
Dy3 0.5000 0.0000 0.5000  4 Cd 3.12, 4 Hg 3.12
Dy4 0.5000 0.5000 0.0000  4 Cd 3.12, 4 Hg 3.12
Hf1 0.0000 0.0000 0.5000  4 Hg 3.12, 4 Cd 3.12
Hf2 0.0000 0.5000 0.0000  4 Hg 3.12, 4 Cd 3.12
Hf3 0.5000 0.0000 0.0000  4 Hg 3.12, 4 Cd 3.12
Hf4 0.5000 0.5000 0.5000  4 Hg 3.12, 4 Cd 3.12
Cd1 0.2500 0.2500 0.7500  4 Hf 3.12, 4 Dy 3.12
Cd2 0.2500 0.7500 0.2500  4 Hf 3.12, 4 Dy 3.12
Cd3 0.7500 0.2500 0.2500  4 Hf 3.12, 4 Dy 3.12
Cd4 0.7500 0.7500 0.7500  4 Hf 3.12, 4 Dy 3.12
Hg1 0.2500 0.2500 0.2500  4 Dy 3.12, 4 Hf 3.12
Hg2 0.2500 0.7500 0.7500  4 Hf 3.12, 4 Dy 3.12
Hg3 0.7500 0.2500 0.7500  4 Hf 3.12, 4 Dy 3.12
Hg4 0.7500 0.7500 0.2500  4 Dy 3.12, 4 Hf 3.12

Uncorrected energy (eV per atom): -4.05
N(E_F) (states/eV/f.u.): 3.4

=====

DFT (PBE) results for a relaxed structure of SmCdI6.

a = 7.5807 Å, b = 7.5857 Å, c = 7.9665 Å
α = 89.91°, β = 62.09°, γ = 60.08°
With the nearest neighbours (Å) after each atom.
Positions (direct):
Sm1 0.0000 0.0000 0.0000  6 I 3.09-3.10
Cd1 0.0000 0.5000 0.5000  6 I 3.02-3.05
I1 0.1727 0.5712 0.7503  1 Cd 3.02, 1 Sm 3.10
I2 0.1771 0.7455 0.2539  1 Cd 3.02, 1 Sm 3.09
I3 0.4945 0.0787 0.2522  1 Cd 3.05, 1 Sm 3.10
I4 0.5055 0.9213 0.7478  1 Cd 3.05, 1 Sm 3.10
I5 0.8229 0.2545 0.7461  1 Cd 3.02, 1 Sm 3.09
I6 0.8273 0.4288 0.2497  1 Cd 3.02, 1 Sm 3.10

Raw formation energy (eV/atom): -0.76
Uncorrected energy (eV per atom): -2.63
N(E_F) (states/eV/f.u.): 14.2

=====

DFT (PBE) results for a relaxed structure of SrFeMo2.

a = 4.1873 Å, b = 4.1873 Å, c = 17.9968 Å
α = 90.00°, β = 90.00°, γ = 120.00°
With the nearest neighbours (Å) after each atom.
Positions (direct):
Sr1 0.0000 0.0000 0.0000  8 Mo 3.42-3.58
Sr2 0.3333 0.6667 0.6667  8 Mo 3.42-3.58
Sr3 0.6667 0.3333 0.3333  8 Mo 3.42-3.58
Fe1 0.0000 0.0000 0.5000  6 Mo 2.49
Fe2 0.3333 0.6667 0.1667  6 Mo 2.49
Fe3 0.6667 0.3333 0.8333  6 Mo 2.49
Mo1 0.0000 0.0000 0.1990  3 Fe 2.49, 3 Mo 2.68
Mo2 0.0000 0.0000 0.8010  3 Fe 2.49, 3 Mo 2.68
Mo3 0.3333 0.6667 0.4677  3 Fe 2.49, 3 Mo 2.68
Mo4 0.3333 0.6667 0.8656  3 Fe 2.49, 3 Mo 2.68
Mo5 0.6667 0.3333 0.1344  3 Fe 2.49, 3 Mo 2.68
Mo6 0.6667 0.3333 0.5323  3 Fe 2.49, 3 Mo 2.68

ΔE to the lowest computed polymorph (meV/atom): 76
Uncorrected energy (eV per atom): -7.27
N(E_F) (states/eV/f.u.): 4.2

=====

Copy entry 1 word for word.
DFT (PBE) results for a relaxed structure of DyHfCdHg.

a = 7.2138 Å, b = 7.2138 Å, c = 7.2138 Å
α = 90.00°, β = 90.00°, γ = 90.00°
With the nearest neighbours (Å) after each atom.
Positions (direct):
Dy1 0.0000 0.0000 0.0000  4 Cd 3.12, 4 Hg 3.12
Dy2 0.0000 0.5000 0.5000  4 Cd 3.12, 4 Hg 3.12
Dy3 0.5000 0.0000 0.5000  4 Cd 3.12, 4 Hg 3.12
Dy4 0.5000 0.5000 0.0000  4 Cd 3.12, 4 Hg 3.12
Hf1 0.0000 0.0000 0.5000  4 Hg 3.12, 4 Cd 3.12
Hf2 0.0000 0.5000 0.0000  4 Hg 3.12, 4 Cd 3.12
Hf3 0.5000 0.0000 0.0000  4 Hg 3.12, 4 Cd 3.12
Hf4 0.5000 0.5000 0.5000  4 Hg 3.12, 4 Cd 3.12
Cd1 0.2500 0.2500 0.7500  4 Hf 3.12, 4 Dy 3.12
Cd2 0.2500 0.7500 0.2500  4 Hf 3.12, 4 Dy 3.12
Cd3 0.7500 0.2500 0.2500  4 Hf 3.12, 4 Dy 3.12
Cd4 0.7500 0.7500 0.7500  4 Hf 3.12, 4 Dy 3.12
Hg1 0.2500 0.2500 0.2500  4 Dy 3.12, 4 Hf 3.12
Hg2 0.2500 0.7500 0.7500  4 Hf 3.12, 4 Dy 3.12
Hg3 0.7500 0.2500 0.7500  4 Hf 3.12, 4 Dy 3.12
Hg4 0.7500 0.7500 0.2500  4 Dy 3.12, 4 Hf 3.12

Uncorrected energy (eV per atom): -4.05
N(E_F) (states/eV/f.u.): 3.4